w) This record from Alexandria describes a relaxed CrAg3Ge crystal. The functional is PBE-GGA.

The structure in POSCAR format:
```
CrAg3Ge
1.0
-0.158 -1.753 4.647
-4.288 -2.299 -1.013
2.508 -4.042 -1.439
Ag Cr Ge
3 1 1
Direct
0.000 0.500 0.000 Ag
0.000 0.000 0.500 Ag
0.500 0.000 0.000 Ag
0.000 0.000 0.000 Cr
0.500 0.500 0.500 Ge
```

Results
Fermi-level density of states ... 3.014 states/eV/f.u.


x) This record from Alexandria describes a relaxed CrAg3Ge crystal. The functional is PBE-GGA.

The structure in POSCAR format:
```
CrAg3Ge
1.0
-2.961 -0.839 -3.760
-1.219 -4.294 1.919
-3.654 2.113 2.406
Ge Ag Cr
1 3 1
Direct
0.000 0.000 0.000 Ge
0.000 0.500 0.000 Ag
0.500 0.000 0.000 Ag
0.000 0.000 0.500 Ag
0.500 0.500 0.500 Cr
```

Results
Fermi-level density of states ... 1.722 states/eV/f.u.


Stability ranking, top entry: x); the second entry is 0.399 eV/atom less favorable.


w) This record from Alexandria describes a relaxed Cr3AgH crystal. The functional is PBE-GGA.

The structure in POSCAR format:
```
Cr3AgH
1.0
-2.654 -3.912 -1.824
4.305 -2.551 -0.792
-0.307 -1.964 4.660
Cr Ag H
3 1 1
Direct
0.000 0.500 0.000 Cr
0.500 0.000 0.000 Cr
0.000 0.000 0.500 Cr
0.000 0.000 0.000 Ag
0.500 0.500 0.500 H
```

Results
Fermi-level density of states ... 3.628 states/eV/f.u.


x) This record from Alexandria describes a relaxed Cr3AgH crystal. The functional is PBE-GGA.

The structure in POSCAR format:
```
Cr3AgH
1.0
3.779 0.000 0.000
0.000 3.779 0.000
0.000 0.000 3.779
H Cr Ag
1 3 1
Direct
0.000 0.000 0.000 H
0.000 0.000 0.500 Cr
0.500 0.000 0.000 Cr
0.000 0.500 0.000 Cr
0.500 0.500 0.500 Ag
```

Results
Fermi-level density of states ... 3.184 states/eV/f.u.


Stability ranking, top entry: x); the second entry is 1.512 eV/atom less favorable.


w) This record from Alexandria describes a relaxed CrAgH2 crystal. The functional is PBE-GGA.

The structure in POSCAR format:
```
CrAgH2
1.0
0.000 2.729 2.729
2.729 0.000 2.729
2.729 2.729 0.000
H Cr Ag
2 1 1
Direct
0.750 0.750 0.750 H
0.250 0.250 0.250 H
0.000 0.000 0.000 Cr
0.500 0.500 0.500 Ag
```

Results
Fermi-level density of states ... 1.006 states/eV/f.u.


x) This record from Alexandria describes a relaxed CrAgH2 crystal. The functional is PBE-GGA.

The structure in POSCAR format:
```
CrAgH2
1.0
4.323 0.000 0.000
0.000 4.323 0.000
2.162 2.162 4.414
Cr H Ag
2 4 2
Direct
0.500 0.500 0.000 Cr
0.250 0.750 0.500 Cr
0.192 0.625 0.250 H
0.558 0.125 0.250 H
0.375 0.442 0.750 H
0.875 0.808 0.750 H
0.000 0.000 0.000 Ag
0.750 0.250 0.500 Ag
```

Results
Fermi-level density of states ... 1.688 states/eV/f.u.


Stability ranking, top entry: x); the second entry is 0.306 eV/atom less favorable.